Record 1
# PBE Zr5PdAu, optimized geometry
# calculated density = 8.2 g/cm³
# total moment = 0.00 μB/f.u.
# electronic total energy = -207.4 eV for the cell shown
# DFT formation energy = -0.092 eV/atom
data_Zr5PdAu
_chemical_formula_sum 'Zr20 Pd4 Au4'
_cell_length_a 10.2539
_cell_length_b 5.9591
_cell_length_c 10.8828
_cell_angle_alpha 90.00
_cell_angle_beta 111.56
_cell_angle_gamma 90.00
_symmetry_space_group_name_H-M 'C 1 2/c 1'
_symmetry_Int_Tables_number 15
loop_
_symmetry_equiv_pos_as_xyz
'x,y,z'
'-x,-y,-z'
'-x,y,-z+1/2'
'x,-y,z+1/2'
'x+1/2,y+1/2,z'
'-x+1/2,-y+1/2,-z'
'-x+1/2,y+1/2,-z+1/2'
'x+1/2,-y+1/2,z+1/2'
loop_
_atom_site_label
_atom_site_fract_x
_atom_site_fract_y
_atom_site_fract_z
_atom_site_occupancy
Zr1 0.0000 0.1185 0.2500 1
Zr2 0.0762 0.2361 0.0014 1
Zr3 0.2262 0.1046 0.7194 1
Pd1 0.2500 0.2500 0.5000 1
Au1 0.0000 0.4076 0.7500 1



Record 2
# PBE ZrPd2Au8, optimized geometry
# calculated density = 15.0 g/cm³
# total moment = 0.00 μB/f.u.
# electronic total energy = -92.1 eV for the cell shown
# DFT formation energy = -0.080 eV/atom
data_ZrPd2Au8
_chemical_formula_sum 'Zr2 Pd4 Au16'
_cell_length_a 7.8118
_cell_length_b 13.0041
_cell_length_c 5.0570
_cell_angle_alpha 90.00
_cell_angle_beta 125.73
_cell_angle_gamma 90.00
_symmetry_space_group_name_H-M 'C 1 2/m 1'
_symmetry_Int_Tables_number 12
loop_
_symmetry_equiv_pos_as_xyz
'x,y,z'
'-x,-y,-z'
'-x,y,-z'
'x,-y,z'
'x+1/2,y+1/2,z'
'-x+1/2,-y+1/2,-z'
'-x+1/2,y+1/2,-z'
'x+1/2,-y+1/2,z'
loop_
_atom_site_label
_atom_site_fract_x
_atom_site_fract_y
_atom_site_fract_z
_atom_site_occupancy
Zr1 0.0000 0.0000 0.0000 1
Pd1 0.0000 0.3082 0.5000 1
Au1 0.0000 0.2164 0.0000 1
Au2 0.0924 0.5000 0.8241 1
Au3 0.2084 0.1160 0.6096 1



Record 3
# PBE ZrPdAu3, optimized geometry
# calculated density = 9.4 g/cm³
# distance to the lowest polymorph of the same formula = 1281 meV per atom
# total moment = 0.00 μB/f.u.
# electronic total energy = -18.9 eV for the cell shown
# DFT formation energy = 0.928 eV/atom
data_ZrPdAu3
_chemical_formula_sum 'Zr1 Pd1 Au3'
_cell_length_a 5.1766
_cell_length_b 5.1766
_cell_length_c 5.1766
_cell_angle_alpha 90.00
_cell_angle_beta 90.00
_cell_angle_gamma 90.00
_symmetry_space_group_name_H-M 'P m -3 m'
_symmetry_Int_Tables_number 221
_symmetry_space_group_name_Hall '-P 4 2 3'
loop_
_atom_site_label
_atom_site_fract_x
_atom_site_fract_y
_atom_site_fract_z
_atom_site_occupancy
Zr1 0.0000 0.0000 0.0000 1
Pd1 0.5000 0.5000 0.5000 1
Au1 0.0000 0.0000 0.5000 1



Record 4
# PBE ZrPd2Au, optimized geometry
# calculated density = 11.8 g/cm³
# distance to the lowest polymorph of the same formula = 97 meV per atom
# total moment = 0.00 μB/f.u.
# electronic total energy = -24.6 eV for the cell shown
# DFT formation energy = -0.609 eV/atom
data_ZrPd2Au
_chemical_formula_sum 'Zr1 Pd2 Au1'
_cell_length_a 3.4959
_cell_length_b 3.4959
_cell_length_c 5.7783
_cell_angle_alpha 90.00
_cell_angle_beta 90.00
_cell_angle_gamma 90.00
_symmetry_space_group_name_H-M 'P 4/m m m'
_symmetry_Int_Tables_number 123
_symmetry_space_group_name_Hall '-P 4 2'
loop_
_atom_site_label
_atom_site_fract_x
_atom_site_fract_y
_atom_site_fract_z
_atom_site_occupancy
Zr1 0.0000 0.0000 0.0000 1
Pd1 0.5000 0.5000 0.2476 1
Au1 0.0000 0.0000 0.5000 1



Record 5
# PBE ZrPd5Au6, optimized geometry
# calculated density = 14.7 g/cm³
# distance to the lowest polymorph of the same formula = 2 meV per atom
# total moment = 0.00 μB/f.u.
# electronic total energy = -115.0 eV for the cell shown
# DFT formation energy = -0.278 eV/atom
data_ZrPd5Au6
_chemical_formula_sum 'Zr2 Pd10 Au12'
_cell_length_a 4.0725
_cell_length_b 8.1169
_cell_length_c 12.3773
_cell_angle_alpha 90.00
_cell_angle_beta 90.00
_cell_angle_gamma 90.00
_symmetry_space_group_name_H-M 'I m m m'
_symmetry_Int_Tables_number 71
_symmetry_space_group_name_Hall '-I 2 2'
loop_
_atom_site_label
_atom_site_fract_x
_atom_site_fract_y
_atom_site_fract_z
_atom_site_occupancy
Zr1 0.0000 0.0000 0.0000 1
Pd1 0.0000 0.0000 0.3318 1
Pd2 0.0000 0.5000 0.0000 1
Pd3 0.0000 0.5000 0.3415 1
Au1 0.0000 0.2409 0.5000 1
Au2 0.0000 0.2529 0.1678 1



Record 6
# PBE Zr2Pd4Au, optimized geometry
# calculated density = 10.6 g/cm³
# distance to the lowest polymorph of the same formula = 0 meV per atom
# total moment = 0.00 μB/f.u.
# electronic total energy = -89.4 eV for the cell shown
# DFT formation energy = -0.507 eV/atom
data_Zr2Pd4Au
_chemical_formula_sum 'Zr4 Pd8 Au2'
_cell_length_a 6.2080
_cell_length_b 5.1770
_cell_length_c 8.3139
_cell_angle_alpha 90.00
_cell_angle_beta 108.74
_cell_angle_gamma 90.00
_symmetry_space_group_name_H-M 'P 1 21/m 1'
_symmetry_Int_Tables_number 11
loop_
_symmetry_equiv_pos_as_xyz
'x,y,z'
'-x,-y,-z'
'-x,y+1/2,-z'
'x,-y+1/2,z'
loop_
_atom_site_label
_atom_site_fract_x
_atom_site_fract_y
_atom_site_fract_z
_atom_site_occupancy
Zr1 0.1816 0.2500 0.0782 1
Zr2 0.2285 0.2500 0.5035 1
Pd1 0.1246 0.5031 0.7738 1
Pd2 0.4361 0.7500 0.0465 1
Pd3 0.4385 0.7500 0.6725 1
Au1 0.2925 0.7500 0.3219 1



Record 7
# PBE ZrPd4Au2, optimized geometry
# calculated density = 9.5 g/cm³
# distance to the lowest polymorph of the same formula = 894 meV per atom
# total moment = 0.00 μB/f.u.
# electronic total energy = -65.7 eV for the cell shown
# DFT formation energy = 0.434 eV/atom
data_ZrPd4Au2
_chemical_formula_sum 'Zr2 Pd8 Au4'
_cell_length_a 4.9320
_cell_length_b 4.9320
_cell_length_c 13.1205
_cell_angle_alpha 90.00
_cell_angle_beta 90.00
_cell_angle_gamma 90.00
_symmetry_space_group_name_H-M 'I 4/m m m'
_symmetry_Int_Tables_number 139
_symmetry_space_group_name_Hall '-I 4 2'
loop_
_atom_site_label
_atom_site_fract_x
_atom_site_fract_y
_atom_site_fract_z
_atom_site_occupancy
Zr1 0.0000 0.0000 0.0000 1
Pd1 0.0000 0.0000 0.1866 1
Pd2 0.0000 0.5000 0.0000 1
Au1 0.0000 0.0000 0.3921 1



Record 8
# PBE ZrPd14Au, optimized geometry
# calculated density = 11.6 g/cm³
# total moment = 0.00 μB/f.u.
# electronic total energy = -88.0 eV for the cell shown
# DFT formation energy = -0.217 eV/atom
data_ZrPd14Au
_chemical_formula_sum 'Zr1 Pd14 Au1'
_cell_length_a 5.6594
_cell_length_b 5.6594
_cell_length_c 7.9190
_cell_angle_alpha 90.00
_cell_angle_beta 90.00
_cell_angle_gamma 90.00
_symmetry_space_group_name_H-M 'P 4/m m m'
_symmetry_Int_Tables_number 123
_symmetry_space_group_name_Hall '-P 4 2'
loop_
_atom_site_label
_atom_site_fract_x
_atom_site_fract_y
_atom_site_fract_z
_atom_site_occupancy
Zr1 0.0000 0.0000 0.0000 1
Pd1 0.0000 0.0000 0.5000 1
Pd2 0.0000 0.5000 0.0000 1
Pd3 0.0000 0.5000 0.5000 1
Pd4 0.2480 0.2480 0.2510 1
Pd5 0.5000 0.5000 0.5000 1
Au1 0.5000 0.5000 0.0000 1



Record 9
# PBE Zr2Pd3Au3, optimized geometry
# calculated density = 12.1 g/cm³
# distance to the lowest polymorph of the same formula = 150 meV per atom
# total moment = 0.00 μB/f.u.
# electronic total energy = -185.1 eV for the cell shown
# DFT formation energy = -0.472 eV/atom
data_Zr2Pd3Au3
_chemical_formula_sum 'Zr8 Pd12 Au12'
_cell_length_a 4.8048
_cell_length_b 9.1690
_cell_length_c 13.6231
_cell_angle_alpha 90.00
_cell_angle_beta 90.00
_cell_angle_gamma 90.00
_symmetry_space_group_name_H-M 'C m c m'
_symmetry_Int_Tables_number 63
_symmetry_space_group_name_Hall '-C 2c 2'
loop_
_atom_site_label
_atom_site_fract_x
_atom_site_fract_y
_atom_site_fract_z
_atom_site_occupancy
Zr1 0.0000 0.2401 0.1068 1
Pd1 0.0000 0.3992 0.5704 1
Pd2 0.0000 0.4428 0.2500 1
Au1 0.0000 0.0809 0.5849 1
Au2 0.0000 0.2471 0.7500 1



Record 10
# PBE ZrPd2Au, optimized geometry
# calculated density = 10.9 g/cm³
# distance to the lowest polymorph of the same formula = 481 meV per atom
# total moment = 0.00 μB/f.u.
# electronic total energy = -92.4 eV for the cell shown
# DFT formation energy = -0.225 eV/atom
data_ZrPd2Au
_chemical_formula_sum 'Zr4 Pd8 Au4'
_cell_length_a 7.3341
_cell_length_b 7.3341
_cell_length_c 5.6833
_cell_angle_alpha 90.00
_cell_angle_beta 90.00
_cell_angle_gamma 90.00
_symmetry_space_group_name_H-M 'I -4 2 d'
_symmetry_Int_Tables_number 122
_symmetry_space_group_name_Hall 'I -4 2bw'
loop_
_atom_site_label
_atom_site_fract_x
_atom_site_fract_y
_atom_site_fract_z
_atom_site_occupancy
Zr1 0.0000 0.0000 0.0000 1
Pd1 0.2413 0.2500 0.1250 1
Au1 0.0000 0.0000 0.5000 1



Record 11
# PBE ZrPdAu2, optimized geometry
# calculated density = 12.0 g/cm³
# total moment = 0.00 μB/f.u.
# electronic total energy = -40.9 eV for the cell shown
# DFT formation energy = -0.036 eV/atom
data_ZrPdAu2
_chemical_formula_sum 'Zr2 Pd2 Au4'
_cell_length_a 3.5606
_cell_length_b 4.1530
_cell_length_c 11.0989
_cell_angle_alpha 90.00
_cell_angle_beta 90.00
_cell_angle_gamma 90.00
_symmetry_space_group_name_H-M 'I m m m'
_symmetry_Int_Tables_number 71
_symmetry_space_group_name_Hall '-I 2 2'
loop_
_atom_site_label
_atom_site_fract_x
_atom_site_fract_y
_atom_site_fract_z
_atom_site_occupancy
Zr1 0.0000 0.0000 0.0000 1
Pd1 0.0000 0.0000 0.5000 1
Au1 0.0000 0.0000 0.2555 1